# 1
VASP calculation (PBE) on an optimized crystal structure of Rb4PbAu3.

Geometry as extended XYZ:
```
8
Lattice="-0.618 4.123 -2.847 0.783 -2.753 -4.156 -12.557 -2.411 -0.767" Properties=species:S:1:pos:R:3 pbc="T T T"
Pb -0.504 0.572 -3.538
Au -6.681 -2.734 -2.510
Au -5.530 -1.062 -0.338
Au -12.256 -0.233 -2.154
Rb -4.565 -0.207 -3.786
Rb -10.118 -3.394 -2.720
Rb -1.979 -0.380 -0.121
Rb -8.267 0.533 -1.910
```

Computed properties:
- Uncorrected energy: -2.411 eV/atom
- Magnetic moment: 0.00 μB/f.u.



# 2
VASP calculation (PBE) on an optimized crystal structure of RbPb4Au2.

Geometry as extended XYZ:
```
7
Lattice="-4.871 -0.797 -1.358 1.459 -3.204 -3.353 -1.328 -4.928 7.657" Properties=species:S:1:pos:R:3 pbc="T T T"
Rb 0.000 0.000 0.000
Pb -2.090 -6.187 1.479
Pb 0.510 -3.998 0.518
Pb -2.651 -2.742 1.468
Pb -0.379 -4.135 3.787
Au -1.799 -3.013 -1.428
Au -2.941 -5.917 4.375
```

Computed properties:
- Uncorrected energy: -3.302 eV/atom
- Magnetic moment: 0.00 μB/f.u.



DOS at the Fermi energy for the records above, in order: 0.221 0.469 states/eV/atom